Entry 1:
The following is a DFT calculation (GGA-PBEsol) of crystalline BiCIN2 at its relaxed geometry.

Geometry as POSCAR:
```
BiCIN2
1.0
4.171 0.000 0.000
0.000 4.171 0.000
0.000 0.000 4.283
C I N Bi
1 1 2 1
direct
0.000 0.000 0.000
0.000 0.000 0.500
0.000 0.500 0.000
0.500 0.000 0.000
0.500 0.500 0.500
```

Its total DFT energy (no corrections) is -4.179 eV/atom. The calculation puts the formation energy (no corrections) at 11.86 eV per formula unit. The value obtained for the volume is 75 Å³/cell. Its density of states at the Fermi level is 3.33 states/eV/f.u.

---

Entry 2:
The following is a DFT calculation (GGA-PBEsol) of crystalline BiSbCI2 at its relaxed geometry.

Geometry as POSCAR:
```
BiSbCI2
1.0
6.110 0.000 0.000
0.000 6.018 0.000
0.000 0.000 6.018
C Sb I Bi
1 1 2 1
direct
0.500 0.500 0.500
0.500 0.000 0.000
0.000 0.000 0.500
0.000 0.500 0.000
0.000 0.000 0.000
```

Its total DFT energy (no corrections) is -2.557 eV/atom. The calculation puts the formation energy (no corrections) at 9.23 eV per formula unit. The value obtained for the volume is 221 Å³/cell. Its density of states at the Fermi level is 8.26 states/eV/f.u.